[1]
## CeHf2Ta (PBE)

Data for crystalline CeHf2Ta at its relaxed geometry.

Unit cell a=3.088 b=3.088 c=11.054 alpha=81.97 beta=81.97 gamma=60.00
Positions (direct):
Hf  0.093  0.093  0.721
Hf  0.907  0.907  0.279
Ce  0.000  0.000  0.000
Ta  0.500  0.500  0.500

## Properties
The density of states at the Fermi level comes out at 1.490 states/eV/atom. As for the calculated formation energy: 231 meV/atom. Its volume is 90 Å³/cell. The calculation puts the relative energy among the computed polymorphs at 59.3 meV/atom.

[2]
## Tl2ZnPt (PBE)

Data for crystalline Tl2ZnPt at its relaxed geometry.

Unit cell a=4.256 b=4.256 c=6.634 alpha=73.07 beta=73.07 gamma=57.51
Positions (direct):
Pt  0.250  0.250  0.250
Tl  0.993  0.993  0.018
Tl  0.507  0.507  0.482
Zn  0.750  0.750  0.750

## Properties
The density of states at the Fermi level comes out at 0.378 states/eV/atom. As for the calculated formation energy: 140 meV/atom. Its volume is 96 Å³/cell. The calculation puts the relative energy among the computed polymorphs at 216.8 meV/atom.

[3]
## TmScTa (PBE)

Data for crystalline TmScTa at its relaxed geometry.

Unit cell a=4.815 b=3.080 c=9.376 alpha=80.55 beta=90.00 gamma=90.00
Positions (direct):
Tm  0.250  0.127  0.746
Tm  0.750  0.873  0.254
Sc  0.250  0.453  0.094
Sc  0.750  0.547  0.906
Ta  0.750  0.715  0.570
Ta  0.250  0.285  0.430

## Properties
The density of states at the Fermi level comes out at 1.363 states/eV/atom. As for the calculated formation energy: 290 meV/atom. Its volume is 137 Å³/cell. The calculation puts the relative energy among the computed polymorphs at 86.7 meV/atom.